Material: Ni3AuN
Method: DFT, PBE-GGA
State: relaxed

Lattice parameters (Å, degrees): 3.6730 5.6067 6.6899 90.00 105.81 90.00
Last column: nearest neighbours and their distance in Å.
Element x y z (fractional)
Ni 0.0880 0.2500 0.1725  2 N 1.84
Ni 0.3077 0.5236 0.6163  1 N 1.77
Ni 0.3077 0.9764 0.6163  1 N 1.77
Ni 0.6923 0.0236 0.3837  1 N 1.77
Ni 0.6923 0.4764 0.3837  1 N 1.77
Ni 0.9120 0.7500 0.8275  2 N 1.84
Au 0.1167 0.7500 0.2315  9 Ni 2.59-2.83
Au 0.8833 0.2500 0.7685  9 Ni 2.59-2.83
N 0.4024 0.7500 0.8079  4 Ni 1.77-1.84
N 0.5976 0.2500 0.1920  4 Ni 1.77-1.84

## Properties
SG: P2_1/m
Formation energy (no corrections): 243 meV/atom
DOS at the Fermi energy: 3.539 states/eV/f.u.